No. 1
# GGA-PBE LaHPd2, relaxed
data_LaHPd2
_symmetry_space_group_name_H-M 'R -3 m'
_symmetry_Int_Tables_number 166
_symmetry_space_group_name_Hall '-R 3 2"'
_cell_length_a 3.1675
_cell_length_b 3.1675
_cell_length_c 22.5123
_cell_angle_alpha 90.00
_cell_angle_beta 90.00
_cell_angle_gamma 120.00
loop_
_atom_site_label
_atom_site_type_symbol
_atom_site_fract_x
_atom_site_fract_y
_atom_site_fract_z
_atom_site_occupancy
La1 La 0.0000 0.0000 0.0000 1
H1 H 0.0000 0.0000 0.5000 1
Pd1 Pd 0.0000 0.0000 0.1176 1
# - VASP energy: -55.57 eV/cell
# - Calculated volume: 16.301 Å³/atom
# - Density of states at the Fermi level: 0.35 states/eV per atom
# - E above lowest polymorph: 0.540 eV per atom

No. 2
# GGA-PBE LaH2Pd2, relaxed
data_LaH2Pd2
_symmetry_space_group_name_H-M 'I 4/m m m'
_symmetry_Int_Tables_number 139
_symmetry_space_group_name_Hall '-I 4 2'
_cell_length_a 3.9028
_cell_length_b 3.9028
_cell_length_c 9.0241
_cell_angle_alpha 90.00
_cell_angle_beta 90.00
_cell_angle_gamma 90.00
loop_
_atom_site_label
_atom_site_type_symbol
_atom_site_fract_x
_atom_site_fract_y
_atom_site_fract_z
_atom_site_occupancy
La1 La 0.0000 0.0000 0.0000 1
H1 H 0.0000 0.5000 0.2500 1
Pd1 Pd 0.0000 0.0000 0.3290 1
# - VASP energy: -48.87 eV/cell
# - Calculated volume: 13.745 Å³/atom
# - Density of states at the Fermi level: 0.20 states/eV per atom
# - E above lowest polymorph: 0.077 eV per atom

No. 3
# GGA-PBE LaH3Pd, relaxed
data_LaH3Pd
_symmetry_space_group_name_H-M 'R -3 c'
_symmetry_Int_Tables_number 167
_symmetry_space_group_name_Hall '-R 3 2"c'
_cell_length_a 6.3029
_cell_length_b 6.3029
_cell_length_c 11.1862
_cell_angle_alpha 90.00
_cell_angle_beta 90.00
_cell_angle_gamma 120.00
loop_
_atom_site_label
_atom_site_type_symbol
_atom_site_fract_x
_atom_site_fract_y
_atom_site_fract_z
_atom_site_occupancy
La1 La 0.0000 0.0000 0.0000 1
H1 H 0.0000 0.2743 0.2500 1
Pd1 Pd 0.0000 0.0000 0.2500 1
# - VASP energy: -131.73 eV/cell
# - Calculated volume: 12.829 Å³/atom
# - Density of states at the Fermi level: 0.00 states/eV per atom